1.
Ca2ZnW | GGA-PBE | relaxed

The value obtained for the calculated density is 6.0 g cm⁻³. The energy relative to the elements is 0.54 eV per atom. For the total energy, the calculation gives -4.021 eV/atom.

It has space group P4mm (No. 99), with a = 3.038 Å, b = 3.038 Å, c = 9.881 Å, α = 90.00°, β = 90.00° and γ = 90.00°. The inequivalent atoms are Ca at (0.000, 0.000, 0.000), Ca at (0.500, 0.500, 0.348), Zn at (0.500, 0.500, 0.772) and W at (0.000, 0.000, 0.590).

---

2.
Ca2ZnW | GGA-PBE | relaxed

The value obtained for the calculated density is 6.2 g cm⁻³. The energy relative to the elements is 0.78 eV per atom. For the total energy, the calculation gives -3.774 eV/atom.

It has space group I4/mmm (No. 139), with a = 4.359 Å, b = 4.359 Å, c = 9.270 Å, α = 90.00°, β = 90.00° and γ = 90.00°. The inequivalent atoms are Ca at (0.000, 0.500, 0.250), Zn at (0.000, 0.000, 0.000) and W at (0.000, 0.000, 0.500).

---

3.
Ca2ZnW | GGA-PBE | relaxed

The value obtained for the calculated density is 6.0 g cm⁻³. The energy relative to the elements is 0.52 eV per atom. For the total energy, the calculation gives -4.042 eV/atom.

It has space group Cm (No. 8), with a = 11.550 Å, b = 3.047 Å, c = 5.547 Å, α = 90.00°, β = 109.74° and γ = 90.00°. The inequivalent atoms are Ca at (0.000, 0.000, 0.000), Ca at (0.200, 0.000, 0.622), Zn at (0.444, 0.000, 0.464) and W at (0.265, 0.500, 0.167).

---

4.
Ca2ZnW | GGA-PBE | relaxed

The value obtained for the calculated density is 6.2 g cm⁻³. The energy relative to the elements is 0.68 eV per atom. For the total energy, the calculation gives -3.880 eV/atom.

It has space group Pmmm (No. 47), with a = 3.014 Å, b = 4.793 Å, c = 6.150 Å, α = 90.00°, β = 90.00° and γ = 90.00°. The inequivalent atoms are Ca at (0.000, 0.000, 0.244), Zn at (0.500, 0.500, 0.500) and W at (0.500, 0.500, 0.000).

---

What did the fourth record say?
Ca2ZnW | GGA-PBE | relaxed

The value obtained for the calculated density is 6.2 g cm⁻³. The energy relative to the elements is 0.68 eV per atom. For the total energy, the calculation gives -3.880 eV/atom.

It has space group Pmmm (No. 47), with a = 3.014 Å, b = 4.793 Å, c = 6.150 Å, α = 90.00°, β = 90.00° and γ = 90.00°. The inequivalent atoms are Ca at (0.000, 0.000, 0.244), Zn at (0.500, 0.500, 0.500) and W at (0.500, 0.500, 0.000).

---

Q: What is the energy relative to the elements in the first record?
A: 0.54 eV per atom

---

Q: Among the records above, which one has the highest energy relative to the elements?
A: number 2

---

Q: Which formula does entry 2 have?
A: Ca2ZnW